Model A:
The following is a PBE calculation of a geometry-optimized Li2GaCu2 structure, from the Alexandria database.

a b c (Å): 4.2513 5.0294 7.0831
angles (deg): 105.25 90.00 115.00
Last column: nearest neighbours and their distance in Å.
Fractional coordinates of all 10 atoms:
Li  0.4458  0.3897  0.1485  4 Cu 2.53-2.56, 3 Li 2.58-2.60, 1 Ga 2.66
Li  0.0561  0.6103  0.3515  4 Cu 2.53-2.56, 3 Li 2.58-2.60, 1 Ga 2.66
Li  0.5542  0.6103  0.8515  4 Cu 2.53-2.56, 3 Li 2.58-2.60, 1 Ga 2.66
Li  0.9439  0.3897  0.6485  4 Cu 2.53-2.56, 3 Li 2.58-2.60, 1 Ga 2.66
Ga  0.7494  0.0000  0.2500  6 Cu 2.54-2.57, 2 Li 2.66
Ga  0.2506  0.0000  0.7500  6 Cu 2.54-2.57, 2 Li 2.66
Cu  0.6520  0.8026  0.5508  4 Li 2.53-2.56, 3 Ga 2.54-2.57, 1 Cu 2.64
Cu  0.8494  0.1974  0.9492  4 Li 2.53-2.56, 3 Ga 2.54-2.57, 1 Cu 2.64
Cu  0.3480  0.1974  0.4492  4 Li 2.53-2.56, 3 Ga 2.54-2.57, 1 Cu 2.64
Cu  0.1506  0.8026  0.0508  4 Li 2.53-2.56, 3 Ga 2.54-2.57, 1 Cu 2.64

- SG = C2/c (15)

***

Model B:
The following is a PBE calculation of a geometry-optimized Li2GaCu2 structure, from the Alexandria database.

a b c (Å): 6.6640 6.6640 2.9928
angles (deg): 90.00 90.00 90.00
Last column: nearest neighbours and their distance in Å.
Fractional coordinates of all 10 atoms:
Cu  0.1666  0.6666  0.5000  6 Li 2.42-2.50
Cu  0.6666  0.8334  0.5000  6 Li 2.42-2.50
Cu  0.8334  0.3334  0.5000  6 Li 2.42-2.50
Cu  0.3334  0.1666  0.5000  6 Li 2.42-2.50
Ga  0.0000  0.0000  0.0000  4 Li 2.61, 8 Cu 2.90
Ga  0.5000  0.5000  0.0000  4 Li 2.61, 8 Cu 2.90
Li  0.3688  0.8688  0.0000  6 Cu 2.42-2.50, 1 Li 2.47, 2 Ga 2.61
Li  0.8688  0.6312  0.0000  6 Cu 2.42-2.50, 1 Li 2.47, 2 Ga 2.61
Li  0.6312  0.1312  0.0000  6 Cu 2.42-2.50, 1 Li 2.47, 2 Ga 2.61
Li  0.1312  0.3688  0.0000  6 Cu 2.42-2.50, 1 Li 2.47, 2 Ga 2.61

- SG = P4/mbm (127)

***

Model C:
The following is a PBE calculation of a geometry-optimized Li2GaCu2 structure, from the Alexandria database.

a b c (Å): 3.4945 3.4945 6.6518
angles (deg): 74.77 74.77 90.00
Last column: nearest neighbours and their distance in Å.
Fractional coordinates of all 5 atoms:
Cu  0.4040  0.4040  0.1920  1 Cu 2.37, 4 Li 2.58
Cu  0.5960  0.5960  0.8080  1 Cu 2.37, 4 Li 2.58
Ga  0.0000  0.0000  0.0000  8 Cu 2.74
Li  0.7500  0.2500  0.5000  4 Li 2.47, 4 Cu 2.58
Li  0.2500  0.7500  0.5000  4 Li 2.47, 4 Cu 2.58

- SG = I4/mmm (139)

***

Model D:
The following is a PBE calculation of a geometry-optimized Li2GaCu2 structure, from the Alexandria database.

a b c (Å): 6.4949 6.4949 3.3738
angles (deg): 90.00 90.00 90.00
Last column: nearest neighbours and their distance in Å.
Fractional coordinates of all 10 atoms:
Cu  0.3646  0.8646  0.0000  1 Cu 2.49, 6 Li 2.49-2.59, 2 Ga 2.53
Cu  0.8646  0.6354  0.0000  1 Cu 2.49, 6 Li 2.49-2.59, 2 Ga 2.53
Cu  0.6354  0.1354  0.0000  1 Cu 2.49, 6 Li 2.49-2.59, 2 Ga 2.53
Cu  0.1354  0.3646  0.0000  1 Cu 2.49, 6 Li 2.49-2.59, 2 Ga 2.53
Ga  0.0000  0.0000  0.0000  4 Cu 2.53
Ga  0.5000  0.5000  0.0000  4 Cu 2.53
Li  0.1655  0.6655  0.5000  6 Cu 2.49-2.59
Li  0.6655  0.8345  0.5000  6 Cu 2.49-2.59
Li  0.8345  0.3345  0.5000  6 Cu 2.49-2.59
Li  0.3345  0.1655  0.5000  6 Cu 2.49-2.59

- SG = P4/mbm (127)

***

In order of decreasing stability: model A, model D, model B, model C.

***

Model A:
The following is a PBE calculation of a geometry-optimized Li3Ga2Cu3 structure, from the Alexandria database.

a b c (Å): 4.3680 4.3265 6.4434
angles (deg): 109.47 109.81 90.00
Last column: nearest neighbours and their distance in Å.
Fractional coordinates of all 8 atoms:
Li  0.3742  0.8728  0.7485  4 Ga 2.56-2.63, 3 Li 2.58-2.85, 2 Cu 2.61
Li  0.5000  0.5000  0.0000  4 Cu 2.58, 4 Li 2.58-2.60
Li  0.6258  0.1272  0.2515  4 Ga 2.56-2.63, 3 Li 2.58-2.85, 2 Cu 2.61
Ga  0.7572  0.7585  0.5143  4 Li 2.56-2.63, 5 Cu 2.57-2.75
Ga  0.2428  0.2415  0.4857  4 Li 2.56-2.63, 5 Cu 2.57-2.75
Cu  0.8797  0.3804  0.7593  3 Cu 2.56-2.73, 4 Ga 2.57-2.68, 2 Li 2.58
Cu  0.1203  0.6196  0.2407  3 Cu 2.56-2.73, 4 Ga 2.57-2.68, 2 Li 2.58
Cu  0.0000  0.0000  0.0000  4 Cu 2.56, 4 Li 2.61, 2 Ga 2.75

- SG = C2/m (12)

***

Model B:
The following is a PBE calculation of a geometry-optimized Li3Ga2Cu3 structure, from the Alexandria database.

a b c (Å): 4.2118 4.2118 7.2839
angles (deg): 73.19 73.19 60.00
Last column: nearest neighbours and their distance in Å.
Fractional coordinates of all 8 atoms:
Li  0.2494  0.2494  0.2518  5 Cu 2.57-2.59, 3 Li 2.58
Li  0.7511  0.7511  0.7467  7 Cu 2.56-2.58, 1 Li 2.61
Li  0.6245  0.6245  0.1265  4 Li 2.58-2.61, 4 Ga 2.60-2.62
Ga  0.0023  0.0023  0.9931  5 Cu 2.52-2.61, 3 Li 2.60
Ga  0.4972  0.4972  0.5085  7 Cu 2.51-2.60, 1 Li 2.62
Cu  0.1246  0.1246  0.6263  4 Ga 2.52-2.56, 4 Li 2.57
Cu  0.8756  0.8756  0.3731  4 Li 2.56-2.57, 4 Ga 2.60-2.61
Cu  0.3754  0.3754  0.8739  4 Ga 2.51-2.57, 4 Li 2.58-2.59

- SG = R3m (160)

***

In order of decreasing stability: model B, model A.

***

Model A:
The following is a PBE calculation of a geometry-optimized LiGa2Cu2 structure, from the Alexandria database.

a b c (Å): 3.5681 3.5681 6.5785
angles (deg): 74.26 74.26 90.00
Last column: nearest neighbours and their distance in Å.
Fractional coordinates of all 5 atoms:
Cu  0.7500  0.2500  0.5000  4 Cu 2.52, 4 Ga 2.53
Cu  0.2500  0.7500  0.5000  4 Cu 2.52, 4 Ga 2.53
Ga  0.3973  0.3973  0.2054  1 Ga 2.50, 4 Cu 2.53
Ga  0.6027  0.6027  0.7946  1 Ga 2.50, 4 Cu 2.53
Li  0.0000  0.0000  0.0000  8 Ga 2.81

- SG = I4/mmm (139)

***

Model B:
The following is a PBE calculation of a geometry-optimized LiGa2Cu2 structure, from the Alexandria database.

a b c (Å): 7.4130 7.4130 2.6745
angles (deg): 90.00 90.00 90.00
Last column: nearest neighbours and their distance in Å.
Fractional coordinates of all 10 atoms:
Cu  0.1678  0.6678  0.5000  6 Ga 2.49-2.61, 2 Cu 2.67
Cu  0.6678  0.8322  0.5000  6 Ga 2.49-2.61, 2 Cu 2.67
Cu  0.8322  0.3322  0.5000  6 Ga 2.49-2.61, 2 Cu 2.67
Cu  0.3322  0.1678  0.5000  6 Ga 2.49-2.61, 2 Cu 2.67
Ga  0.3679  0.8679  0.0000  6 Cu 2.49-2.61, 3 Ga 2.67-2.77
Ga  0.8679  0.6321  0.0000  6 Cu 2.49-2.61, 3 Ga 2.67-2.77
Ga  0.6321  0.1321  0.0000  6 Cu 2.49-2.61, 3 Ga 2.67-2.77
Ga  0.1321  0.3679  0.0000  6 Cu 2.49-2.61, 3 Ga 2.67-2.77
Li  0.0000  0.0000  0.0000  2 Li 2.67, 4 Ga 2.90
Li  0.5000  0.5000  0.0000  2 Li 2.67, 4 Ga 2.90

- SG = P4/mbm (127)

***

Model C:
The following is a PBE calculation of a geometry-optimized LiGa2Cu2 structure, from the Alexandria database.

a b c (Å): 4.6846 5.0495 7.2141
angles (deg): 66.41 71.05 62.36
Last column: nearest neighbours and their distance in Å.
Fractional coordinates of all 10 atoms:
Li  0.3170  0.7500  0.2500  6 Ga 2.64-2.74, 6 Cu 2.64-2.81
Li  0.6830  0.2500  0.7500  6 Ga 2.64-2.74, 6 Cu 2.64-2.81
Ga  0.5059  0.7766  0.8554  6 Cu 2.55-2.76, 3 Li 2.64-2.74, 3 Ga 2.75-2.80
Ga  0.8622  0.2766  0.3554  6 Cu 2.55-2.76, 3 Li 2.64-2.74, 3 Ga 2.75-2.80
Ga  0.4941  0.2234  0.1446  6 Cu 2.55-2.76, 3 Li 2.64-2.74, 3 Ga 2.75-2.80
Ga  0.1378  0.7234  0.6446  6 Cu 2.55-2.76, 3 Li 2.64-2.74, 3 Ga 2.75-2.80
Cu  0.2699  0.2433  0.5453  6 Ga 2.55-2.76, 3 Cu 2.56-2.81, 3 Li 2.64-2.81
Cu  0.0585  0.2567  0.9547  6 Ga 2.55-2.76, 3 Cu 2.56-2.81, 3 Li 2.64-2.81
Cu  0.7301  0.7567  0.4547  6 Ga 2.55-2.76, 3 Cu 2.56-2.81, 3 Li 2.64-2.81
Cu  0.9415  0.7433  0.0453  6 Ga 2.55-2.76, 3 Cu 2.56-2.81, 3 Li 2.64-2.81

- SG = C2/c (15)

***

In order of decreasing stability: model C, model B, model A.

***

Model A:
The following is a PBE calculation of a geometry-optimized LiGa2Cu2 structure, from the Alexandria database.

a b c (Å): 2.7967 4.3594 11.8772
angles (deg): 90.00 90.00 90.00
Last column: nearest neighbours and their distance in Å.
Fractional coordinates of all 10 atoms:
Li  0.2500  0.7494  0.2481  2 Li 2.80, 6 Ga 2.82-2.86, 6 Cu 2.87-2.88
Li  0.7500  0.2506  0.7519  2 Li 2.80, 6 Ga 2.82-2.86, 6 Cu 2.87-2.88
Ga  0.2500  0.7504  0.8537  5 Cu 2.44-2.58
Ga  0.7500  0.2496  0.1463  5 Cu 2.44-2.58
Ga  0.2500  0.2503  0.5457  4 Cu 2.50-2.70, 2 Ga 2.80
Ga  0.7500  0.7497  0.4543  4 Cu 2.50-2.70, 2 Ga 2.80
Cu  0.2500  0.7506  0.6485  5 Ga 2.44-2.70
Cu  0.7500  0.2494  0.3515  5 Ga 2.44-2.70
Cu  0.2500  0.2502  0.9634  4 Ga 2.54-2.58, 6 Cu 2.73-2.80
Cu  0.7500  0.7498  0.0366  4 Ga 2.54-2.58, 6 Cu 2.73-2.80

- SG = P2_1/m (11)

***

Model B:
The following is a PBE calculation of a geometry-optimized LiGa2Cu2 structure, from the Alexandria database.

a b c (Å): 7.3723 7.3723 2.6815
angles (deg): 90.00 90.00 90.00
Last column: nearest neighbours and their distance in Å.
Fractional coordinates of all 10 atoms:
Cu  0.3735  0.8735  0.0000  6 Ga 2.50-2.59, 3 Cu 2.64-2.68
Cu  0.8735  0.6265  0.0000  6 Ga 2.50-2.59, 3 Cu 2.64-2.68
Cu  0.6265  0.1265  0.0000  6 Ga 2.50-2.59, 3 Cu 2.64-2.68
Cu  0.1265  0.3735  0.0000  6 Ga 2.50-2.59, 3 Cu 2.64-2.68
Ga  0.1714  0.6714  0.5000  6 Cu 2.50-2.59, 2 Ga 2.68
Ga  0.6714  0.8286  0.5000  6 Cu 2.50-2.59, 2 Ga 2.68
Ga  0.8286  0.3286  0.5000  6 Cu 2.50-2.59, 2 Ga 2.68
Ga  0.3286  0.1714  0.5000  6 Cu 2.50-2.59, 2 Ga 2.68
Li  0.0000  0.0000  0.0000  2 Li 2.68, 4 Cu 2.91
Li  0.5000  0.5000  0.0000  2 Li 2.68, 4 Cu 2.91

- SG = P4/mbm (127)

***

In order of decreasing stability: model B, model A.

***

Model A:
The following is a PBE calculation of a geometry-optimized LiGa6Cu5 structure, from the Alexandria database.

a b c (Å): 7.3156 4.6401 6.2860
angles (deg): 68.34 81.25 65.66
Last column: nearest neighbours and their distance in Å.
Fractional coordinates of all 12 atoms:
Li  0.0000  0.0000  0.0000  8 Ga 2.64-2.95
Ga  0.7081  0.1383  0.3648  5 Cu 2.54-2.73, 4 Ga 2.80-2.83
Ga  0.2919  0.4968  0.3648  5 Cu 2.54-2.73, 4 Ga 2.80-2.83
Ga  0.1998  0.3607  0.0000  5 Cu 2.53-2.57, 2 Li 2.64-2.71, 3 Ga 2.66-2.83
Ga  0.8002  0.6393  0.0000  5 Cu 2.53-2.57, 2 Li 2.64-2.71, 3 Ga 2.66-2.83
Ga  0.7081  0.5032  0.6352  5 Cu 2.54-2.73, 4 Ga 2.80-2.83
Ga  0.2919  0.8617  0.6352  5 Cu 2.54-2.73, 4 Ga 2.80-2.83
Cu  0.5000  0.1166  0.7668  6 Ga 2.54-2.73, 3 Cu 2.69-2.73
Cu  0.0000  0.3117  0.3767  6 Ga 2.54-2.59, 2 Cu 2.73
Cu  0.5000  0.5000  0.0000  6 Ga 2.53-2.55, 4 Cu 2.69
Cu  0.0000  0.6883  0.6233  6 Ga 2.54-2.59, 2 Cu 2.73
Cu  0.5000  0.8834  0.2332  6 Ga 2.54-2.73, 3 Cu 2.69-2.73

- SG = C2/m (12)

***

Model B:
The following is a PBE calculation of a geometry-optimized LiGa6Cu5 structure, from the Alexandria database.

a b c (Å): 3.8452 6.1798 7.5124
angles (deg): 89.99 89.98 71.87
Last column: nearest neighbours and their distance in Å.
Fractional coordinates of all 12 atoms:
Cu  0.6686  0.6629  0.5000  8 Ga 2.67-2.72, 4 Cu 2.71-2.76
Cu  0.3293  0.3415  0.0000  2 Cu 2.68, 8 Ga 2.70-2.76, 2 Li 2.78
Cu  0.0000  0.0000  0.5000  8 Ga 2.68-2.69, 4 Cu 2.76
Cu  0.6707  0.6585  0.0000  2 Cu 2.68, 8 Ga 2.70-2.76, 2 Li 2.78
Cu  0.3314  0.3371  0.5000  8 Ga 2.67-2.72, 4 Cu 2.71-2.76
Ga  0.8333  0.3335  0.2543  7 Cu 2.67-2.71, 1 Li 2.74, 4 Ga 2.74
Ga  0.8332  0.3335  0.7457  7 Cu 2.67-2.71, 1 Li 2.74, 4 Ga 2.74
Ga  0.5000  0.0000  0.7481  6 Cu 2.68-2.76, 2 Li 2.70, 4 Ga 2.74
Ga  0.5000  0.0000  0.2519  6 Cu 2.68-2.76, 2 Li 2.70, 4 Ga 2.74
Ga  0.1668  0.6666  0.2543  7 Cu 2.67-2.71, 1 Li 2.74, 4 Ga 2.74
Ga  0.1667  0.6666  0.7457  7 Cu 2.67-2.71, 1 Li 2.74, 4 Ga 2.74
Li  0.0000  0.0000  0.0000  8 Ga 2.70-2.74, 4 Cu 2.78

- SG = Cmmm (65)

***

In order of decreasing stability: model B, model A.